# SrCa2Sb

An optimized crystal structure of SrCa2Sb (PBE, Alexandria).

Cell: 5.0868 5.0868 22.0607 Å, 90.00 90.00 120.00°
Space group R3m (No. 160, hexagonal axes)
Asymmetric unit:
Sr 0.0000 0.0000 0.0000
Ca 0.0000 0.0000 0.5515
Ca 0.0000 0.0000 0.7770
Sb 0.0000 0.0000 0.1650

Calculated values
Total moment, μB per cell: 0.00
Formation energy (no corrections), eV/f.u.: -1.8


# SrMg3Be

An optimized crystal structure of SrMg3Be (PBE, Alexandria).

Cell: 6.6664 6.6664 6.6664 Å, 90.00 90.00 90.00°
Space group Pm-3m (No. 221)
Asymmetric unit:
Sr 0.0000 0.0000 0.0000
Mg 0.0000 0.0000 0.5000
Be 0.5000 0.5000 0.5000

Calculated values
Total moment, μB per cell: 0.00


# Tb3TeBr2O6

An optimized crystal structure of Tb3TeBr2O6 (PBE, Alexandria).

Cell: 11.8468 6.6893 5.7581 Å, 90.00 101.78 90.00°
Space group C2/m (No. 12)
Asymmetric unit:
Tb 0.0000 0.0000 0.0000
Tb 0.2500 0.2500 0.5000
Te 0.0000 0.5000 0.5000
Br 0.2141 0.0000 0.8663
O 0.0593 0.2544 0.2984
O 0.1702 0.5000 0.6592

Calculated values
Total moment, μB per cell: 0.00
Formation energy (no corrections), eV/f.u.: -25.1


# Li2Ac3Au7

An optimized crystal structure of Li2Ac3Au7 (PBE, Alexandria).

Cell: 4.7048 4.7048 26.7097 Å, 90.00 90.00 90.00°
Space group I4/mmm (No. 139)
Asymmetric unit:
Li 0.0000 0.0000 0.1130
Ac 0.0000 0.0000 0.3265
Ac 0.0000 0.0000 0.5000
Au 0.0000 0.0000 0.0000
Au 0.0000 0.0000 0.2082
Au 0.0000 0.5000 0.0839

Calculated values
Total moment, μB per cell: 0.00


# CaScTe

An optimized crystal structure of CaScTe (PBE, Alexandria).

Cell: 7.0826 7.0826 7.0826 Å, 90.00 90.00 90.00°
Space group F-43m (No. 216)
Asymmetric unit:
Ca 0.0000 0.0000 0.0000
Sc 0.0000 0.0000 0.5000
Te 0.2500 0.2500 0.7500

Calculated values
Total moment, μB per cell: 6.33
Formation energy (no corrections), eV/f.u.: -1.4


# RbBaNa2In

An optimized crystal structure of RbBaNa2In (PBE, Alexandria).

Cell: 6.3707 6.3707 6.6299 Å, 90.00 90.00 90.00°
Space group P4/mmm (No. 123)
Asymmetric unit:
Rb 0.0000 0.0000 0.0000
Ba 0.5000 0.5000 0.0000
Na 0.0000 0.5000 0.5000
In 0.5000 0.5000 0.5000

Calculated values
Total moment, μB per cell: 0.00


# RbNaAlCd2

An optimized crystal structure of RbNaAlCd2 (PBE, Alexandria).

Cell: 5.4534 5.4534 5.8787 Å, 90.00 90.00 90.00°
Space group P4/mmm (No. 123)
Asymmetric unit:
Rb 0.0000 0.0000 0.0000
Na 0.5000 0.5000 0.0000
Al 0.5000 0.5000 0.5000
Cd 0.0000 0.5000 0.5000

Calculated values
Total moment, μB per cell: 0.00


# TiSbRh3

An optimized crystal structure of TiSbRh3 (PBE, Alexandria).

Cell: 4.5845 4.5845 4.5845 Å, 90.00 90.00 90.00°
Space group Pm-3m (No. 221)
Asymmetric unit:
Ti 0.0000 0.0000 0.0000
Sb 0.5000 0.5000 0.5000
Rh 0.0000 0.0000 0.5000

Calculated values
Total moment, μB per cell: 0.00
Formation energy (no corrections), eV/f.u.: 2.0


# PaAg2Pd4

An optimized crystal structure of PaAg2Pd4 (PBE, Alexandria).

Cell: 7.8766 8.2779 4.0580 Å, 90.00 90.00 90.00°
Space group Cmmm (No. 65)
Asymmetric unit:
Pa 0.0000 0.0000 0.0000
Ag 0.1978 0.5000 0.5000
Pd 0.0000 0.2224 0.5000
Pd 0.2500 0.2500 0.0000

Calculated values
Total moment, μB per cell: 0.00


# BaBi4Pb7

An optimized crystal structure of BaBi4Pb7 (PBE, Alexandria).

Cell: 14.0259 6.6430 10.5895 Å, 90.00 120.80 90.00°
Space group C2/m (No. 12)
Asymmetric unit:
Ba 0.0000 0.0000 0.0000
Bi 0.0090 0.5000 0.3274
Bi 0.2497 0.0000 0.6633
Pb 0.0000 0.5000 0.0000
Pb 0.0032 0.0000 0.6521
Pb 0.2214 0.5000 0.6503
Pb 0.2371 0.5000 0.0155

Calculated values
Total moment, μB per cell: 0.00


# Mg2Pa2O7

An optimized crystal structure of Mg2Pa2O7 (PBE, Alexandria).

Cell: 5.2923 5.3394 5.5434 Å, 70.99 81.62 77.33°
Space group P-1 (No. 2)
Asymmetric unit:
Mg 0.2405 0.4668 0.1611
Pa 0.2737 0.0957 0.7523
O 0.0000 0.5000 0.5000
O 0.0124 0.2144 0.0723
O 0.4820 0.7496 0.0648
O 0.4896 0.7616 0.5877

Calculated values
Total moment, μB per cell: 0.00
Formation energy (no corrections), eV/f.u.: -34.6


# AcLa6Y8

An optimized crystal structure of AcLa6Y8 (PBE, Alexandria).

Cell: 9.7791 9.7791 20.0589 Å, 90.00 90.00 120.00°
Space group R-3 (No. 148, hexagonal axes)
Asymmetric unit:
Ac 0.0000 0.0000 0.0000
La 0.0148 0.2693 0.3860
Y 0.0000 0.0000 0.2289
Y 0.0187 0.2953 0.8804

Calculated values
Total moment, μB per cell: 0.00


# Y5Au

An optimized crystal structure of Y5Au (PBE, Alexandria).

Cell: 8.9931 8.9931 8.9931 Å, 90.00 90.00 90.00°
Space group F-43m (No. 216)
Asymmetric unit:
Y 0.0000 0.0000 0.0000
Y 0.1253 0.1253 0.3747
Au 0.2500 0.2500 0.7500

Calculated values
Total moment, μB per cell: 0.00


# KNi4Rh

An optimized crystal structure of KNi4Rh (PBE, Alexandria).

Cell: 6.9989 6.9989 6.9989 Å, 90.00 90.00 90.00°
Space group F-43m (No. 216)
Asymmetric unit:
K 0.0000 0.0000 0.0000
Ni 0.1239 0.1239 0.6239
Rh 0.2500 0.2500 0.2500

Calculated values
Total moment, μB per cell: 12.51


# Rb2Bi2I

An optimized crystal structure of Rb2Bi2I (PBE, Alexandria).

Cell: 10.0280 10.0280 5.3672 Å, 90.00 90.00 90.00°
Space group P4/mbm (No. 127)
Asymmetric unit:
Rb 0.1928 0.3072 0.0000
Bi 0.0973 0.5973 0.5000
I 0.0000 0.0000 0.0000

Calculated values
Total moment, μB per cell: 0.00
Formation energy (no corrections), eV/f.u.: -2.2


# CeAlSe4

An optimized crystal structure of CeAlSe4 (PBE, Alexandria).

Cell: 8.0013 6.0135 5.8561 Å, 90.00 96.46 90.00°
Space group P2_1/c (No. 14)
Asymmetric unit:
Ce 0.0000 0.0000 0.0000
Al 0.5000 0.0000 0.5000
Se 0.1858 0.0477 0.5293
Se 0.4021 0.6078 0.5913

Calculated values
Total moment, μB per cell: 1.98
Formation energy (no corrections), eV/f.u.: -5.8


# BeRhF

An optimized crystal structure of BeRhF (PBE, Alexandria).

Cell: 13.3207 2.6127 4.5169 Å, 90.00 90.00 90.00°
Space group Amm2 (No. 38)
Asymmetric unit:
Be 0.0000 0.0000 0.0000
Be 0.5000 0.0000 0.2151
Rh 0.1373 0.0000 0.3337
F 0.4209 0.0000 0.8864

Calculated values
Total moment, μB per cell: 0.00
Formation energy (no corrections), eV/f.u.: -3.6


# BaAsPt2

An optimized crystal structure of BaAsPt2 (PBE, Alexandria).

Cell: 4.7677 4.7677 3.9316 Å, 90.00 90.00 90.00°
Space group P4/mmm (No. 123)
Asymmetric unit:
Ba 0.0000 0.0000 0.0000
As 0.5000 0.5000 0.0000
Pt 0.0000 0.5000 0.5000

Calculated values
Total moment, μB per cell: 0.00


# Ac2La3In4

An optimized crystal structure of Ac2La3In4 (PBE, Alexandria).

Cell: 7.4748 17.6443 9.5779 Å, 90.00 90.00 90.00°
Space group Cmce (No. 64)
Asymmetric unit:
Ac 0.0000 0.1078 0.0736
La 0.0000 0.0000 0.5000
La 0.2500 0.2231 0.7500
In 0.0000 0.1823 0.4660
In 0.2500 0.0404 0.7500

Calculated values
Total moment, μB per cell: 0.00


# GdTm2O

An optimized crystal structure of GdTm2O (PBE, Alexandria).

Cell: 3.4645 3.4645 25.9294 Å, 90.00 90.00 120.00°
Space group R-3m (No. 166, hexagonal axes)
Asymmetric unit:
Gd 0.0000 0.0000 0.0000
Tm 0.0000 0.0000 0.2185
O 0.0000 0.0000 0.5000

Calculated values
Total moment, μB per cell: 23.09
Formation energy (no corrections), eV/f.u.: -5.5


# KNaBr2

An optimized crystal structure of KNaBr2 (PBE, Alexandria).

Cell: 4.9762 4.9762 26.3926 Å, 90.00 90.00 120.00°
Space group R-3m (No. 166, hexagonal axes)
Asymmetric unit:
K 0.0000 0.0000 0.0000
Na 0.0000 0.0000 0.5000
Br 0.0000 0.0000 0.3998

Calculated values
Total moment, μB per cell: 0.00
Formation energy (no corrections), eV/f.u.: -5.8


# InAsN2O

An optimized crystal structure of InAsN2O (PBE, Alexandria).

Cell: 3.8752 3.8752 3.7134 Å, 90.00 90.00 90.00°
Space group P4/mmm (No. 123)
Asymmetric unit:
In 0.0000 0.0000 0.0000
As 0.5000 0.5000 0.5000
N 0.0000 0.5000 0.5000
O 0.5000 0.5000 0.0000

Calculated values
Total moment, μB per cell: 0.00
Formation energy (no corrections), eV/f.u.: 2.8


Here are the calculated DFT total energy numbers, same order: -2.909, -0.548, -6.271, -3.890, -4.294, -1.614, -1.486, -6.408, -5.452, -3.627, -8.316, -5.465, -5.642, -4.675, -2.687, -4.900, -5.517, -4.711, -4.096, -8.367, -2.897, -5.248 (eV/atom).